Computed, not measured: a geometry-optimized LaCu2Mo structure at the GGA-PBE level of DFT.

The space group is R-3m (No. 166, hexagonal axes) and the conventional cell measures 2.9478, 2.9478 and 28.6382 Å, with angles of 90.00, 90.00 and 120.00 degrees. The asymmetric unit holds La at (0.0000, 0.0000, 0.0000), Cu at (0.0000, 0.0000, 0.2390) and Mo at (0.0000, 0.0000, 0.5000).

The density of states at the Fermi level comes out at 12.66 states/eV per cell. The size of the total moment comes out at 2.03 μB per cell. As for the energy of formation: 0.619 eV per atom.

---

Computed, not measured: a geometry-optimized LaCu2Mo structure at the GGA-PBE level of DFT.

The space group is P4/mmm (No. 123) and the conventional cell measures 2.986, 2.986 and 7.869 Å, with angles of 90.00, 90.00 and 90.00 degrees. The asymmetric unit holds La at (0.000, 0.000, 0.000), Cu at (0.500, 0.500, 0.294) and Mo at (0.000, 0.000, 0.500).

The density of states at the Fermi level comes out at 4.17 states/eV per cell. The size of the total moment comes out at 0.00 μB per cell. As for the energy of formation: 0.313 eV per atom.